# 1
# NpZnNi, relaxed, DFT PBE-GGA
data_NpZnNi
_space_group_name_H-M_alt 'P 1'
_space_group_IT_number 1
_space_group_name_Hall 'P 1'
_cell_length_a 4.3440
_cell_length_b 4.3440
_cell_length_c 4.3440
_cell_angle_alpha 60.00
_cell_angle_beta 60.00
_cell_angle_gamma 60.00
loop_
_atom_site_label
_atom_site_fract_x
_atom_site_fract_y
_atom_site_fract_z
Np1 0.0000 0.0000 0.0000
Zn1 0.7500 0.7500 0.7500
Ni1 0.5000 0.5000 0.5000
# size of the total moment: 0.0 μB per formula unit
# SG: No. 216
# distance to the lowest polymorph of the same formula: 4.9 kJ per mole of atoms
# E: -5.636 eV/atom
# ΔH_f (0 K): 86.6 kJ/mol of atoms

***

# 2
# NpZnNi, relaxed, DFT PBE-GGA
data_NpZnNi
_space_group_name_H-M_alt 'P 1'
_space_group_IT_number 1
_space_group_name_Hall 'P 1'
_cell_length_a 4.4190
_cell_length_b 4.4190
_cell_length_c 4.4190
_cell_angle_alpha 60.00
_cell_angle_beta 60.00
_cell_angle_gamma 60.00
loop_
_atom_site_label
_atom_site_fract_x
_atom_site_fract_y
_atom_site_fract_z
Np1 0.0000 0.0000 0.0000
Zn1 0.2500 0.2500 0.2500
Ni1 0.7500 0.7500 0.7500
# size of the total moment: 4.2 μB per formula unit
# SG: No. 216
# distance to the lowest polymorph of the same formula: 0.0 kJ per mole of atoms
# E: -5.687 eV/atom
# ΔH_f (0 K): 81.7 kJ/mol of atoms

***

# 3
# Ni3Os, relaxed, DFT PBE-GGA
data_Ni3Os
_space_group_name_H-M_alt 'P 1'
_space_group_IT_number 1
_space_group_name_Hall 'P 1'
_cell_length_a 4.0425
_cell_length_b 4.0425
_cell_length_c 4.0425
_cell_angle_alpha 60.00
_cell_angle_beta 60.00
_cell_angle_gamma 60.00
loop_
_atom_site_label
_atom_site_fract_x
_atom_site_fract_y
_atom_site_fract_z
Ni1 0.0000 0.0000 0.0000
Ni2 0.2500 0.2500 0.2500
Ni3 0.7500 0.7500 0.7500
Os1 0.5000 0.5000 0.5000
# size of the total moment: 0.0 μB per formula unit
# SG: No. 225
# E: -6.740 eV/atom
# ΔH_f (0 K): 23.3 kJ/mol of atoms

***

# 4
# RbNiP2Os, relaxed, DFT PBE-GGA
data_RbNiP2Os
_space_group_name_H-M_alt 'P 1'
_space_group_IT_number 1
_space_group_name_Hall 'P 1'
_cell_length_a 7.4684
_cell_length_b 7.4684
_cell_length_c 7.4684
_cell_angle_alpha 150.29
_cell_angle_beta 150.29
_cell_angle_gamma 42.51
loop_
_atom_site_label
_atom_site_fract_x
_atom_site_fract_y
_atom_site_fract_z
Rb1 0.0000 0.0000 0.0000
Ni1 0.2500 0.7500 0.5000
P1 0.3424 0.3424 0.0000
P2 0.6576 0.6576 0.0000
Os1 0.7500 0.2500 0.5000
# size of the total moment: 0.0 μB per formula unit
# SG: No. 119
# E: -6.218 eV/atom

***

# 5
# SrNiP2Os, relaxed, DFT PBE-GGA
data_SrNiP2Os
_space_group_name_H-M_alt 'P 1'
_space_group_IT_number 1
_space_group_name_Hall 'P 1'
_cell_length_a 6.6202
_cell_length_b 6.6202
_cell_length_c 6.6202
_cell_angle_alpha 146.38
_cell_angle_beta 146.38
_cell_angle_gamma 48.29
loop_
_atom_site_label
_atom_site_fract_x
_atom_site_fract_y
_atom_site_fract_z
Sr1 0.0000 0.0000 0.0000
Ni1 0.2500 0.7500 0.5000
P1 0.3568 0.3568 0.0000
P2 0.6432 0.6432 0.0000
Os1 0.7500 0.2500 0.5000
# size of the total moment: 0.0 μB per formula unit
# SG: No. 119
# E: -6.562 eV/atom

***

# 6
# NiOsPdPb, relaxed, DFT PBE-GGA
data_NiOsPdPb
_space_group_name_H-M_alt 'P 1'
_space_group_IT_number 1
_space_group_name_Hall 'P 1'
_cell_length_a 4.4988
_cell_length_b 4.4988
_cell_length_c 4.4988
_cell_angle_alpha 60.00
_cell_angle_beta 60.00
_cell_angle_gamma 60.00
loop_
_atom_site_label
_atom_site_fract_x
_atom_site_fract_y
_atom_site_fract_z
Ni1 0.0000 0.0000 0.0000
Os1 0.2500 0.2500 0.2500
Pd1 0.5000 0.5000 0.5000
Pb1 0.7500 0.7500 0.7500
# size of the total moment: 0.9 μB per formula unit
# SG: No. 216
# E: -5.802 eV/atom

***

# 7
# ScNiOsPb, relaxed, DFT PBE-GGA
data_ScNiOsPb
_space_group_name_H-M_alt 'P 1'
_space_group_IT_number 1
_space_group_name_Hall 'P 1'
_cell_length_a 4.6091
_cell_length_b 4.6091
_cell_length_c 4.6091
_cell_angle_alpha 60.00
_cell_angle_beta 60.00
_cell_angle_gamma 60.00
loop_
_atom_site_label
_atom_site_fract_x
_atom_site_fract_y
_atom_site_fract_z
Sc1 0.0000 0.0000 0.0000
Ni1 0.5000 0.5000 0.5000
Os1 0.7500 0.7500 0.7500
Pb1 0.2500 0.2500 0.2500
# size of the total moment: 0.4 μB per formula unit
# SG: No. 216
# E: -6.374 eV/atom

***

# 8
# TcNiOsPb, relaxed, DFT PBE-GGA
data_TcNiOsPb
_space_group_name_H-M_alt 'P 1'
_space_group_IT_number 1
_space_group_name_Hall 'P 1'
_cell_length_a 4.4692
_cell_length_b 4.4692
_cell_length_c 4.4692
_cell_angle_alpha 60.00
_cell_angle_beta 60.00
_cell_angle_gamma 60.00
loop_
_atom_site_label
_atom_site_fract_x
_atom_site_fract_y
_atom_site_fract_z
Tc1 0.0000 0.0000 0.0000
Ni1 0.5000 0.5000 0.5000
Os1 0.7500 0.7500 0.7500
Pb1 0.2500 0.2500 0.2500
# size of the total moment: 0.5 μB per formula unit
# SG: No. 216
# E: -7.041 eV/atom

***

# 9
# NiSbOsPd, relaxed, DFT PBE-GGA
data_NiSbOsPd
_space_group_name_H-M_alt 'P 1'
_space_group_IT_number 1
_space_group_name_Hall 'P 1'
_cell_length_a 4.4291
_cell_length_b 4.4291
_cell_length_c 4.4291
_cell_angle_alpha 60.00
_cell_angle_beta 60.00
_cell_angle_gamma 60.00
loop_
_atom_site_label
_atom_site_fract_x
_atom_site_fract_y
_atom_site_fract_z
Ni1 0.0000 0.0000 0.0000
Sb1 0.7500 0.7500 0.7500
Os1 0.2500 0.2500 0.2500
Pd1 0.5000 0.5000 0.5000
# size of the total moment: 0.1 μB per formula unit
# SG: No. 216
# E: -6.086 eV/atom

***

# 10
# PmNiOs, relaxed, DFT PBE-GGA
data_PmNiOs
_space_group_name_H-M_alt 'P 1'
_space_group_IT_number 1
_space_group_name_Hall 'P 1'
_cell_length_a 4.4851
_cell_length_b 4.4851
_cell_length_c 4.4851
_cell_angle_alpha 60.00
_cell_angle_beta 60.00
_cell_angle_gamma 60.00
loop_
_atom_site_label
_atom_site_fract_x
_atom_site_fract_y
_atom_site_fract_z
Pm1 0.0000 0.0000 0.0000
Ni1 0.7500 0.7500 0.7500
Os1 0.2500 0.2500 0.2500
# size of the total moment: 0.3 μB per formula unit
# SG: No. 216
# distance to the lowest polymorph of the same formula: 72.5 kJ per mole of atoms
# E: -5.981 eV/atom
# ΔH_f (0 K): 115.7 kJ/mol of atoms

***

# 11
# PmNiOs, relaxed, DFT PBE-GGA
data_PmNiOs
_space_group_name_H-M_alt 'P 1'
_space_group_IT_number 1
_space_group_name_Hall 'P 1'
_cell_length_a 4.3952
_cell_length_b 4.3952
_cell_length_c 4.3952
_cell_angle_alpha 60.00
_cell_angle_beta 60.00
_cell_angle_gamma 60.00
loop_
_atom_site_label
_atom_site_fract_x
_atom_site_fract_y
_atom_site_fract_z
Pm1 0.0000 0.0000 0.0000
Ni1 0.7500 0.7500 0.7500
Os1 0.5000 0.5000 0.5000
# size of the total moment: 1.4 μB per formula unit
# SG: No. 216
# distance to the lowest polymorph of the same formula: 0.0 kJ per mole of atoms
# E: -6.732 eV/atom
# ΔH_f (0 K): 43.2 kJ/mol of atoms

***

# 12
# PrSi2NiOs, relaxed, DFT PBE-GGA
data_PrSi2NiOs
_space_group_name_H-M_alt 'P 1'
_space_group_IT_number 1
_space_group_name_Hall 'P 1'
_cell_length_a 5.8743
_cell_length_b 5.8743
_cell_length_c 5.8743
_cell_angle_alpha 139.74
_cell_angle_beta 139.74
_cell_angle_gamma 58.25
loop_
_atom_site_label
_atom_site_fract_x
_atom_site_fract_y
_atom_site_fract_z
Pr1 0.0000 0.0000 0.0000
Si1 0.3729 0.3729 0.0000
Si2 0.6271 0.6271 0.0000
Ni1 0.2500 0.7500 0.5000
Os1 0.7500 0.2500 0.5000
# size of the total moment: 0.0 μB per formula unit
# SG: No. 119
# E: -7.202 eV/atom